A relaxed structure of HfZrS4, computed with PBE.

a b c (Å): 5.0325 8.2114 8.3285
angles (deg): 105.64 90.00 107.84
Element x y z (fractional)
Hf  0.1071  0.2143  0.6840
Hf  0.8929  0.7857  0.3160
Zr  0.2049  0.4099  0.2842
Zr  0.7951  0.5901  0.7158
S  0.0577  0.1153  0.3615
S  0.1392  0.2783  0.9936
S  0.7339  0.4678  0.3566
S  0.6280  0.2559  0.6953
S  0.3720  0.7441  0.3047
S  0.2661  0.5322  0.6434
S  0.8608  0.7217  0.0064
S  0.9423  0.8847  0.6385

Output
The total magnetic moment is 0.00 μB per formula unit. Its uncorrected formation energy is -8.441 eV/f.u. As for the space group: C2/m (12). The calculated total energy is -7.24 eV/atom.

A relaxed structure of HfZrS4, computed with PBE.

a b c (Å): 3.6679 6.3550 13.6700
angles (deg): 97.92 90.00 90.00
Element x y z (fractional)
Hf  0.5000  0.0000  0.5000
Hf  0.0000  0.0000  0.0000
Zr  0.0000  0.5000  0.5000
Zr  0.5000  0.5000  0.0000
S  0.4999  0.6382  0.3925
S  0.9999  0.3618  0.1075
S  0.5001  0.3618  0.6075
S  0.0001  0.6382  0.8925
S  0.0000  0.1318  0.3931
S  0.5000  0.8682  0.1069
S  0.0000  0.8682  0.6069
S  0.5000  0.1318  0.8931

Output
The total magnetic moment is 0.00 μB per formula unit. Its uncorrected formation energy is -9.298 eV/f.u. As for the space group: C2/m (12). The calculated total energy is -7.38 eV/atom.

no.,energy above the lowest structure with this stoichiometry (kJ per mole of atoms)
1,13.78
2,0.00